The following is a PBE-GGA calculation of VCd2SbAs after structural relaxation, from Alexandria via LeMat-Bulk.

```
VCd2SbAs
1.0
5.2338 0.0000 0.0000
0.0000 5.2338 0.0000
0.0000 0.0000 4.9920
V Cd Sb As
1 2 1 1
Cartesian
0.0000 0.0000 0.0000 V
0.0000 2.6169 0.0000 Cd
2.6169 0.0000 0.0000 Cd
0.0000 0.0000 2.4960 Sb
2.6169 2.6169 2.4960 As
```

Calculated values
Raw formation energy (meV per atom): 842.0



The following is a PBE-GGA calculation of Sm2ZnSi3Ir4 after structural relaxation, from Alexandria via LeMat-Bulk.

```
Sm2ZnSi3Ir4
1.0
4.1627 0.0000 0.0000
0.0000 4.1627 0.0000
0.0000 0.0000 10.0566
Sm Zn Si Ir
2 1 3 4
Cartesian
0.0000 2.0814 2.4899 Sm
2.0814 0.0000 7.5667 Sm
2.0814 2.0814 0.0000 Zn
0.0000 0.0000 0.0000 Si
0.0000 2.0814 6.3112 Si
2.0814 0.0000 3.7454 Si
0.0000 0.0000 5.0283 Ir
0.0000 2.0814 8.6839 Ir
2.0814 0.0000 1.3726 Ir
2.0814 2.0814 5.0283 Ir
```

Calculated values
Raw formation energy (meV per atom): -928.4



The following is a PBE-GGA calculation of Cu2Ag2H after structural relaxation, from Alexandria via LeMat-Bulk.

```
Cu2Ag2H
1.0
5.2354 0.0000 0.0000
0.0000 5.2354 0.0000
0.0000 0.0000 4.8528
Cu Ag H
4 4 2
Cartesian
0.9112 1.7065 0.0000 Cu
1.7065 4.3242 0.0000 Cu
3.5289 0.9112 0.0000 Cu
4.3242 3.5289 0.0000 Cu
0.9386 3.5562 2.4264 Ag
1.6791 0.9386 2.4264 Ag
3.5562 4.2968 2.4264 Ag
4.2968 1.6791 2.4264 Ag
0.0000 0.0000 0.0000 H
2.6177 2.6177 0.0000 H
```

Calculated values
Excess energy over the best structure of this formula in the dataset (meV per atom): 0.0



The following is a PBE-GGA calculation of Li3Ga2Ag4Ge2 after structural relaxation, from Alexandria via LeMat-Bulk.

```
Li3Ga2Ag4Ge2
1.0
4.4330 0.0000 0.0000
-2.2165 3.8391 0.0000
0.0000 0.0000 12.1179
Li Ga Ag Ge
3 2 4 2
Cartesian
0.0000 0.0000 0.0000 Li
0.0000 0.0000 2.9805 Li
0.0000 0.0000 9.1375 Li
0.0000 2.5594 6.9217 Ga
2.2165 1.2797 5.1963 Ga
0.0000 2.5594 4.2697 Ag
0.0000 2.5594 10.8371 Ag
2.2165 1.2797 1.2808 Ag
2.2165 1.2797 7.8482 Ag
0.0000 2.5594 1.6222 Ge
2.2165 1.2797 10.4958 Ge
```

Calculated values
ΔE_f (eV/atom): -0.099



The following is a PBE-GGA calculation of Sb2TeCl after structural relaxation, from Alexandria via LeMat-Bulk.

```
Sb2TeCl
1.0
1.8833 -2.7504 0.0000
1.8833 2.7504 0.0000
0.0000 0.0000 10.4764
Sb Te Cl
2 1 1
Cartesian
0.0000 0.0000 0.0000 Sb
1.8833 0.0000 2.6251 Sb
0.0000 0.0000 5.1909 Te
1.8833 0.0000 8.3699 Cl
```

Calculated values
Raw formation energy (meV per atom): 56.8
Excess energy over the best structure of this formula in the dataset (meV per atom): 214.7



The following is a PBE-GGA calculation of Sc4AlIr after structural relaxation, from Alexandria via LeMat-Bulk.

```
Sc4AlIr
1.0
0.0000 3.8865 3.8865
3.8865 0.0000 3.8865
3.8865 3.8865 0.0000
Sc Al Ir
4 1 1
Cartesian
2.9247 2.9247 2.9247 Sc
4.8483 4.8483 2.9247 Sc
4.8483 2.9247 4.8483 Sc
2.9247 4.8483 4.8483 Sc
0.0000 0.0000 0.0000 Al
5.8298 5.8298 5.8298 Ir
```

Calculated values
ΔE_f (eV/atom): 0.208
Excess energy over the best structure of this formula in the dataset (meV per atom): 788.8



The following is a PBE-GGA calculation of Nd6InSi2 after structural relaxation, from Alexandria via LeMat-Bulk.

```
Nd6InSi2
1.0
-4.9216 5.0764 5.2985
4.9216 -5.0764 5.2985
4.9216 5.0764 -5.2985
Nd In Si
12 2 4
Cartesian
4.9216 2.9896 -2.7577 Nd
2.7239 1.8774 0.0000 Nd
7.1194 1.8774 0.0000 Nd
2.0217 5.0764 -1.9076 Nd
2.9000 0.0000 3.3909 Nd
0.0000 2.0868 2.5409 Nd
4.9216 2.9896 2.7577 Nd
2.0217 5.0764 1.9076 Nd
2.9000 0.0000 7.2062 Nd
-2.1977 3.1990 5.2985 Nd
2.1977 3.1990 5.2985 Nd
0.0000 2.0868 8.0562 Nd
0.0000 0.0000 0.0000 In
0.0000 0.0000 5.2985 In
4.9216 0.0000 1.1901 Si
0.0000 3.8045 0.0000 Si
0.0000 6.3484 0.0000 Si
0.0000 5.0764 4.1085 Si
```

Calculated values
Raw formation energy (meV per atom): -482.8



The following is a PBE-GGA calculation of RbBeOsS2 after structural relaxation, from Alexandria via LeMat-Bulk.

```
RbBeOsS2
1.0
4.5485 0.0000 0.0000
0.0000 4.5485 0.0000
0.0000 0.0000 6.6578
Rb Be Os S
1 1 1 2
Cartesian
0.0000 0.0000 0.0000 Rb
2.2742 2.2742 0.0000 Be
0.0000 0.0000 3.3289 Os
0.0000 2.2742 3.3289 S
2.2742 0.0000 3.3289 S
```

Calculated values
Raw formation energy (meV per atom): 781.6



The following is a PBE-GGA calculation of YSICl2 after structural relaxation, from Alexandria via LeMat-Bulk.

```
YSICl2
1.0
5.3167 0.0000 0.0000
0.0000 5.3167 0.0000
0.0000 0.0000 5.6810
Y S I Cl
1 1 1 2
Cartesian
0.0000 0.0000 0.0000 Y
2.6584 2.6584 0.0000 S
2.6584 2.6584 2.8405 I
0.0000 2.6584 2.8405 Cl
2.6584 0.0000 2.8405 Cl
```

Calculated values
Raw formation energy (meV per atom): 164.7
Excess energy over the best structure of this formula in the dataset (meV per atom): 1276.7



The following is a PBE-GGA calculation of TlB2O after structural relaxation, from Alexandria via LeMat-Bulk.

```
TlB2O
1.0
0.0000 2.9628 2.9628
2.9628 0.0000 2.9628
2.9628 2.9628 0.0000
Tl B O
1 2 1
Cartesian
0.0000 0.0000 0.0000 Tl
1.4814 1.4814 1.4814 B
4.4442 4.4442 4.4442 B
2.9628 2.9628 2.9628 O
```

Calculated values
Raw formation energy (meV per atom): 1908.4
Excess energy over the best structure of this formula in the dataset (meV per atom): 1166.5



The following is a PBE-GGA calculation of Nd3Ho12Mg after structural relaxation, from Alexandria via LeMat-Bulk.

```
Nd3Ho12Mg
1.0
5.0037 0.0000 0.0000
0.0000 5.0037 0.0000
0.0000 0.0000 20.0353
Nd Ho Mg
3 12 1
Cartesian
0.0000 0.0000 0.0000 Nd
0.0000 0.0000 5.0578 Nd
0.0000 0.0000 14.9775 Nd
0.0000 2.5018 2.5404 Ho
0.0000 2.5018 7.5865 Ho
0.0000 2.5018 12.4488 Ho
0.0000 2.5018 17.4949 Ho
2.5018 0.0000 2.5404 Ho
2.5018 0.0000 7.5865 Ho
2.5018 0.0000 12.4488 Ho
2.5018 0.0000 17.4949 Ho
2.5018 2.5018 0.0000 Ho
2.5018 2.5018 5.1228 Ho
2.5018 2.5018 10.0176 Ho
2.5018 2.5018 14.9124 Ho
0.0000 0.0000 10.0176 Mg
```

Calculated values
ΔE_f (eV/atom): 0.024



The following is a PBE-GGA calculation of CuNiSe2 after structural relaxation, from Alexandria via LeMat-Bulk.

```
CuNiSe2
1.0
-2.5139 2.5139 5.2176
2.5139 -2.5139 5.2176
2.5139 2.5139 -5.2176
Cu Ni Se
2 2 4
Cartesian
2.5139 1.2570 1.3044 Cu
0.0000 1.2570 3.9132 Cu
2.5139 -1.2570 3.9132 Ni
0.0000 3.7709 1.3044 Ni
2.5139 1.2570 -1.5116 Se
0.0000 1.2570 1.0972 Se
2.5139 1.2570 4.1204 Se
0.0000 1.2570 6.7292 Se
```

Calculated values
Raw formation energy (meV per atom): -126.5



Taking the records one at a time from the top gives N(E_F) values of 6.63; 7.67; 2.89; 4.00; 2.05; 6.21; 15.25; 2.51; 3.86; 2.97; 20.78; 4.26 states/eV/cell.
Taking the records one at a time from the top gives E_tot values of -3.10; -7.17; -3.17; -3.05; -3.25; -6.11; -5.17; -4.05; -3.00; -3.26; -4.40; -4.34 eV per atom.